No. 1
{
  "formula": "ScNiRu4",
  "functional": "PBE",
  "state": "relaxed",
  "e_form_ev_per_atom": 0.193,
  "magmom_total_mub_per_cell": 2.7,
  "final_energy_ev_per_fu": -48.1,
  "lattice": [[2.197, -0.869, 4.528], [0.651, 3.842, 3.301], [-2.791, 0.197, 4.272]],
  "species": ["Ru", "Ru", "Ru", "Ru", "Ni", "Sc"],
  "frac_coords": [[0.626, 0.626, 0.123], [0.626, 0.626, 0.626], [0.626, 0.123, 0.626], [0.123, 0.626, 0.626], [0.000, 0.000, 0.000], [0.250, 0.250, 0.250]]
}

***

No. 2
{
  "formula": "PaCdCuO4",
  "functional": "PBE",
  "state": "relaxed",
  "magmom_total_mub_per_cell": 0.1,
  "final_energy_ev_per_fu": -48.4,
  "lattice": [[6.351, 0.000, 0.000], [-3.176, 5.800, -0.632], [0.000, -3.692, 6.072]],
  "species": ["Pa", "O", "O", "Cd", "O", "O", "Cu", "Pa", "Cd", "O", "O", "O", "Cu", "O"],
  "frac_coords": [[0.500, 0.000, 0.000], [0.729, 0.458, 0.265], [0.263, 0.954, 0.227], [0.838, 0.676, 0.088], [0.729, 0.458, 0.692], [0.737, 0.046, 0.773], [0.000, 0.500, 0.500], [0.500, 0.000, 0.500], [0.162, 0.324, 0.912], [0.309, 0.046, 0.773], [0.271, 0.542, 0.735], [0.691, 0.954, 0.227], [0.500, 0.500, 0.500], [0.271, 0.542, 0.308]]
}

***

No. 3
{
  "formula": "SrSc2TeC",
  "functional": "PBE",
  "state": "relaxed",
  "magmom_total_mub_per_cell": 2.0,
  "final_energy_ev_per_fu": -15.5,
  "lattice": [[5.783, 0.000, 0.000], [0.000, 5.742, 0.000], [0.000, 0.000, 5.783]],
  "species": ["Sc", "Sr", "Te", "Sc", "C"],
  "frac_coords": [[0.000, 0.000, 0.500], [0.000, 0.000, 0.000], [0.000, 0.500, 0.000], [0.500, 0.000, 0.000], [0.500, 0.500, 0.500]]
}

***

No. 4
{
  "formula": "InI2Br",
  "functional": "PBE",
  "state": "relaxed",
  "de_polymorph_mev_per_atom": 260,
  "magmom_total_mub_per_cell": 0.0,
  "final_energy_ev_per_fu": -8.8,
  "lattice": [[-6.788, -5.578, 6.043], [6.806, 0.589, 8.188], [-1.216, -0.089, 7.961]],
  "species": ["I", "I", "Br", "I", "In", "In", "Br", "I"],
  "frac_coords": [[0.763, 0.125, 0.250], [0.987, 0.625, 0.250], [0.250, 0.750, 0.500], [0.875, 0.013, 0.750], [0.750, 0.250, 0.500], [0.000, 0.000, 0.000], [0.500, 0.500, 0.000], [0.375, 0.237, 0.750]]
}

***

No. 5
{
  "formula": "NaLa3Tm3Te8",
  "functional": "PBE",
  "state": "relaxed",
  "magmom_total_mub_per_cell": 0.0,
  "final_energy_ev_per_fu": -75.6,
  "lattice": [[8.842, 0.000, 0.000], [-4.421, 7.658, -0.027], [0.000, -5.079, 7.293]],
  "species": ["La", "Te", "Tm", "Te", "La", "Te", "Te", "Te", "Te", "Tm", "Te", "Tm", "Te", "Na", "La"],
  "frac_coords": [[0.000, 0.500, 0.000], [0.255, 0.511, 0.742], [0.500, 0.500, 0.500], [0.732, 0.987, 0.742], [0.000, 0.000, 0.000], [0.257, 0.513, 0.270], [0.268, 0.013, 0.258], [0.255, 0.987, 0.742], [0.745, 0.013, 0.258], [0.000, 0.500, 0.500], [0.743, 0.487, 0.730], [0.500, 0.000, 0.500], [0.745, 0.489, 0.258], [0.000, 0.000, 0.500], [0.500, 0.500, 0.000]]
}

***

No. 6
{
  "formula": "RbGeBi2Sb",
  "functional": "PBE",
  "state": "relaxed",
  "magmom_total_mub_per_cell": 0.0,
  "final_energy_ev_per_fu": -15.2,
  "lattice": [[5.581, 0.000, 0.000], [0.000, 6.032, 0.000], [0.000, 0.000, 5.581]],
  "species": ["Ge", "Bi", "Bi", "Sb", "Rb"],
  "frac_coords": [[0.000, 0.000, 0.000], [0.000, 0.000, 0.500], [0.500, 0.000, 0.000], [0.500, 0.500, 0.500], [0.000, 0.500, 0.000]]
}

***

No. 7
{
  "formula": "TbEuSe2",
  "functional": "PBE",
  "state": "relaxed",
  "magmom_total_mub_per_cell": 7.0,
  "final_energy_ev_per_fu": -29.5,
  "lattice": [[4.174, 0.000, 0.000], [2.087, 3.615, 0.000], [2.087, 1.205, 6.925]],
  "species": ["Tb", "Se", "Eu", "Se"],
  "frac_coords": [[0.000, 0.000, 0.000], [0.254, 0.254, 0.238], [0.500, 0.500, 0.500], [0.746, 0.746, 0.762]]
}

***

No. 8
{
  "formula": "TiW",
  "functional": "PBE",
  "state": "relaxed",
  "e_form_ev_per_atom": 1.104,
  "magmom_total_mub_per_cell": 0.0,
  "final_energy_ev_per_fu": -18.6,
  "lattice": [[5.243, 0.000, 0.000], [0.000, 5.243, 0.000], [0.000, 0.000, 5.243]],
  "species": ["W", "Ti", "Ti", "Ti", "W", "Ti", "W", "W"],
  "frac_coords": [[0.000, 0.500, 0.000], [0.000, 0.500, 0.500], [0.500, 0.500, 0.000], [0.500, 0.000, 0.500], [0.000, 0.000, 0.500], [0.000, 0.000, 0.000], [0.500, 0.500, 0.500], [0.500, 0.000, 0.000]]
}